Hf3TaMo: relaxed, PBE-GGA.

Cell lengths 4.9174, 4.9174, 4.9174 Å; angles 90.00, 90.00, 90.00 degrees
Closest atoms and distances in Å follow each position.
Sites, in units of the cell vectors:
Hf 0.0000 0.0000 0.5000  2 Mo 2.46
Hf 0.0000 0.5000 0.0000  2 Mo 2.46
Hf 0.5000 0.0000 0.0000  2 Mo 2.46
Ta 0.5000 0.5000 0.5000  12 Hf 3.48
Mo 0.0000 0.0000 0.0000  6 Hf 2.46

Energy above the most stable polymorph in this dataset: 0.00 kcal/mol of atoms
DFT formation energy: 1.094 eV per atom
Space-group type: No. 221